No. 1
Computed, not measured: crystalline BaNb3O8 at its relaxed geometry at the PBE-GGA level of DFT.

Lattice parameters (Å, degrees): 5.5296 5.5296 6.9147 90.00 90.00 120.00
Space group P-3 (No. 147)
Inequivalent atoms, fractional coordinates:
Ba1 0.0000 0.0000 0.0000 [1 per cell]
Nb1 0.0000 0.0000 0.5000 [1 per cell]
Nb2 0.3333 0.6667 0.6115 [2 per cell]
O1 0.0426 0.3529 0.3692 [6 per cell]
O2 0.3333 0.6667 0.8737 [2 per cell]

- relative energy among the computed polymorphs (meV/atom) = 95
- volume (Å³/atom) = 15.26
- E_form (uncorrected) (eV/atom) = -2.43
- M_tot (μB/cell) = 1.021


No. 2
Computed, not measured: crystalline Ta3W7 at its relaxed geometry at the PBE-GGA level of DFT.

Lattice parameters (Å, degrees): 8.7450 8.7450 5.2943 90.00 90.00 120.00
Space group P6_3/mmc (No. 194)
Inequivalent atoms, fractional coordinates:
Ta1 0.2085 0.4170 0.2500 [6 per cell]
W1 0.0000 0.5000 0.0000 [6 per cell]
W2 0.1159 0.2318 0.7500 [6 per cell]
W3 0.3333 0.6667 0.7500 [2 per cell]

- volume (Å³/atom) = 17.53
- formation energy from the elements (meV per atom) = 489
- M_tot (μB/cell) = 0.000


No. 3
Computed, not measured: crystalline KScBiPt2 at its relaxed geometry at the PBE-GGA level of DFT.

Lattice parameters (Å, degrees): 4.998 4.998 5.585 90.00 90.00 90.00
Space group P4/mmm (No. 123)
Inequivalent atoms, fractional coordinates:
K1 0.000 0.000 0.000 [1 per cell]
Sc1 0.500 0.500 0.500 [1 per cell]
Bi1 0.000 0.000 0.500 [1 per cell]
Pt1 0.000 0.500 0.000 [2 per cell]

- volume (Å³/atom) = 27.90
- formation energy from the elements (meV per atom) = 1342
- M_tot (μB/cell) = 0.000


No. 4
Computed, not measured: crystalline BaTe2P at its relaxed geometry at the PBE-GGA level of DFT.

Lattice parameters (Å, degrees): 4.677 4.677 10.968 90.00 90.00 90.00
Space group I-4m2 (No. 119)
Inequivalent atoms, fractional coordinates:
Ba1 0.000 0.000 0.000 [2 per cell]
Te1 0.000 0.000 0.500 [2 per cell]
Te2 0.000 0.500 0.250 [2 per cell]
P1 0.000 0.500 0.750 [2 per cell]

- volume (Å³/atom) = 29.99
- E_form (uncorrected) (eV/atom) = -0.30
- M_tot (μB/cell) = 0.000